[1]
Below is a relaxed InRh2Cl crystal, with properties calculated at the PBE level.

POSCAR file:
```
InRh2Cl
1.0
-1.4780 2.5953 4.4306
1.4780 -2.5953 4.4306
1.4780 2.5953 -4.4306
In Rh Cl
1 2 1
direct
0.0000 0.0000 0.0000 In
0.2582 0.7582 0.5000 Rh
0.7418 0.2418 0.5000 Rh
0.5000 0.5000 0.0000 Cl
```

Results
For the polymorph energy (0 for the lowest one), the calculation gives 128 meV/atom. The raw formation energy comes out at 0.100 eV per atom. The calculation puts the density of states at the Fermi level at 0.968 states/eV per atom.

[2]
Below is a relaxed InRh2Cl crystal, with properties calculated at the PBE level.

POSCAR file:
```
InRh2Cl
1.0
2.9872 0.0000 0.0000
0.0000 4.4355 0.0000
0.0000 0.0000 5.1581
In Rh Cl
1 2 1
direct
0.0000 0.0000 0.0000 In
0.0000 0.5000 0.5000 Rh
0.5000 0.5000 0.0000 Rh
0.5000 0.0000 0.5000 Cl
```

Results
For the polymorph energy (0 for the lowest one), the calculation gives 180 meV/atom. The raw formation energy comes out at 0.152 eV per atom. The calculation puts the density of states at the Fermi level at 0.808 states/eV per atom.

[3]
Below is a relaxed InRh3Cl crystal, with properties calculated at the PBE level.

POSCAR file:
```
InRh3Cl
1.0
4.9988 0.0000 0.0000
0.0000 4.9988 0.0000
0.0000 0.0000 4.9988
In Rh Cl
1 3 1
direct
0.0000 0.0000 0.0000 In
0.0000 0.0000 0.5000 Rh
0.0000 0.5000 0.0000 Rh
0.5000 0.0000 0.0000 Rh
0.5000 0.5000 0.5000 Cl
```

Results
For the polymorph energy (0 for the lowest one), the calculation gives 900 meV/atom. The raw formation energy comes out at 1.401 eV per atom. The calculation puts the density of states at the Fermi level at 1.592 states/eV per atom.

- Among the records above, which one has the highest raw formation energy?
  InRh3Cl

- Which of these has the highest raw formation energy?
  InRh3Cl

- polymorph energy (0 for the lowest one) of number 3 (InRh3Cl)?
  900 meV/atom